! AcYMgSn, optimized geometry, DFT GGA-PBE; values from VASP
! Density = 6.3 g cm⁻³
! Formation energy = -34.7 kJ per mole of atoms
&SYSTEM
  ibrav = 0, nat = 4, ntyp = 4
/
ATOMIC_SPECIES
Ac 227.00 Ac.upf
Y 88.91 Y.upf
Mg 24.30 Mg.upf
Sn 118.71 Sn.upf
CELL_PARAMETERS angstrom
0.0000 3.9265 3.9265
3.9265 0.0000 3.9265
3.9265 3.9265 0.0000
ATOMIC_POSITIONS crystal
Ac 0.0000 0.0000 0.0000
Y 0.5000 0.5000 0.5000
Mg 0.2500 0.2500 0.2500
Sn 0.7500 0.7500 0.7500